(1)
Compound: Ca2MgGe2Pd5
Source: Alexandria via LeMat-Bulk
Functional: PBE
Structure: optimized geometry

Properties
Formation energy from the elements   -667 meV per atom
Total magnetization   0.000 Bohr magnetons per cell
N(E_F)   0.334 states/eV/atom
Volume   18.6 Å³/atom
Energy   -4.7464 eV per atom

Unit cell a=10.2440 b=10.2440 c=3.5423 alpha=90.00 beta=90.00 gamma=90.00
Fractional positions:
1 Ca 0.1740 0.3260 0.0000
2 Ca 0.3260 0.8260 0.0000
3 Ca 0.6740 0.1740 0.0000
4 Ca 0.8260 0.6740 0.0000
5 Mg 0.0000 0.0000 0.0000
6 Mg 0.5000 0.5000 0.0000
7 Ge 0.1262 0.6262 0.0000
8 Ge 0.3738 0.1262 0.0000
9 Ge 0.6262 0.8738 0.0000
10 Ge 0.8738 0.3738 0.0000
11 Pd 0.0000 0.5000 0.5000
12 Pd 0.0608 0.7929 0.5000
13 Pd 0.2071 0.0608 0.5000
14 Pd 0.2929 0.5608 0.5000
15 Pd 0.4392 0.2929 0.5000
16 Pd 0.5000 0.0000 0.5000
17 Pd 0.5608 0.7071 0.5000
18 Pd 0.7071 0.4392 0.5000
19 Pd 0.7929 0.9392 0.5000
20 Pd 0.9392 0.2071 0.5000

=====

(2)
Compound: Pu4BPb2
Source: Alexandria via LeMat-Bulk
Functional: PBE
Structure: optimized geometry

Properties
Formation energy from the elements   82 meV per atom
Total magnetization   21.192 Bohr magnetons per cell
N(E_F)   5.051 states/eV/atom
Volume   27.6 Å³/atom
Energy   -10.1213 eV per atom

Unit cell a=8.9242 b=8.9242 c=8.9242 alpha=148.52 beta=148.52 gamma=45.12
Fractional positions:
1 Pu 0.0000 0.5000 0.5000
2 Pu 0.1622 0.1622 0.0000
3 Pu 0.5000 0.0000 0.5000
4 Pu 0.8378 0.8378 0.0000
5 B 0.0000 0.0000 0.0000
6 Pb 0.3601 0.3601 0.0000
7 Pb 0.6399 0.6399 0.0000

=====

(3)
Compound: Ba2Na2PaO6
Source: Alexandria via LeMat-Bulk
Functional: PBE
Structure: optimized geometry

Properties
Raw formation energy   -26.39 eV per formula unit
Total magnetization   0.382 Bohr magnetons per cell
N(E_F)   0.379 states/eV/atom
Volume   18.7 Å³/atom
Energy   -6.5560 eV per atom

Unit cell a=6.7895 b=6.7895 c=6.7895 alpha=56.93 beta=56.93 gamma=56.93
Fractional positions:
1 Ba 0.2094 0.2094 0.2094
2 Ba 0.7906 0.7906 0.7906
3 Na 0.4186 0.4186 0.4186
4 Na 0.5814 0.5814 0.5814
5 Pa 0.0000 0.0000 0.0000
6 O 0.2007 0.7729 0.7729
7 O 0.2271 0.2271 0.7993
8 O 0.2271 0.7993 0.2271
9 O 0.7729 0.2007 0.7729
10 O 0.7729 0.7729 0.2007
11 O 0.7993 0.2271 0.2271